KMoO3 after structural relaxation. Source: Alexandria via LeMat-Bulk, functional PBE+U.

Unit cell a=7.5315 b=7.5315 c=7.5315 alpha=60.00 beta=60.00 gamma=60.00
With the nearest neighbours (Å) after each atom.
Element x y z (fractional)
1 K 0.0000 0.0000 0.0000  6 O 2.75
2 K 0.0000 0.0000 0.5000  6 O 2.75
3 K 0.0000 0.5000 0.0000  6 O 2.75
4 K 0.5000 0.0000 0.0000  6 O 2.75
5 Mo 0.0000 0.5000 0.5000  6 O 2.00
6 Mo 0.5000 0.0000 0.5000  6 O 2.00
7 Mo 0.5000 0.5000 0.0000  6 O 2.00
8 Mo 0.5000 0.5000 0.5000  6 O 2.00
9 O 0.1875 0.1875 0.5625  2 Mo 2.00
10 O 0.1875 0.5625 0.1875  2 Mo 2.00
11 O 0.1875 0.5625 0.5625  2 Mo 2.00
12 O 0.4375 0.4375 0.8125  2 Mo 2.00
13 O 0.4375 0.8125 0.4375  2 Mo 2.00
14 O 0.4375 0.8125 0.8125  2 Mo 2.00
15 O 0.5625 0.1875 0.1875  2 Mo 2.00
16 O 0.5625 0.1875 0.5625  2 Mo 2.00
17 O 0.5625 0.5625 0.1875  2 Mo 2.00
18 O 0.8125 0.4375 0.4375  2 Mo 2.00
19 O 0.8125 0.4375 0.8125  2 Mo 2.00
20 O 0.8125 0.8125 0.4375  2 Mo 2.00

Properties
Volume: 15.10 Å³/atom
Energy: -6.299 eV/atom
Crystal system: cubic